# Sc3PdN

A relaxed structure of Sc3PdN (GGA-PBEsol, the Alexandria database).

a = 4.3374 Å, b = 4.3374 Å, c = 4.3374 Å
α = 90.00°, β = 90.00°, γ = 90.00°
Atoms (fractional coordinates):
Sc1 0.0000 0.0000 0.5000
Sc2 0.0000 0.5000 0.0000
Sc3 0.5000 0.0000 0.0000
Pd1 0.5000 0.5000 0.5000
N1 0.0000 0.0000 0.0000

- theoretical density (g/cm3) = 5.20
- crystal system = cubic
- formation energy without anion corrections (eV per atom) = -1.1451

# SrSc2PdN

A relaxed structure of SrSc2PdN (GGA-PBEsol, the Alexandria database).

a = 5.2546 Å, b = 5.2546 Å, c = 4.1084 Å
α = 90.00°, β = 90.00°, γ = 90.00°
Atoms (fractional coordinates):
Sr1 0.0000 0.0000 0.0000
Sc1 0.0000 0.5000 0.0000
Sc2 0.5000 0.0000 0.0000
Pd1 0.5000 0.5000 0.5000
N1 0.0000 0.0000 0.5000

- theoretical density (g/cm3) = 4.36
- crystal system = tetragonal
- formation energy without anion corrections (eV per atom) = 1.4229

# ScTePdN2

A relaxed structure of ScTePdN2 (GGA-PBEsol, the Alexandria database).

a = 3.9994 Å, b = 3.9994 Å, c = 5.8724 Å
α = 90.00°, β = 90.00°, γ = 90.00°
Atoms (fractional coordinates):
Sc1 0.0000 0.0000 0.0000
Te1 0.0000 0.0000 0.5000
Pd1 0.5000 0.5000 0.5000
N1 0.0000 0.5000 0.0000
N2 0.5000 0.0000 0.0000

- theoretical density (g/cm3) = 5.43
- crystal system = tetragonal
- formation energy without anion corrections (eV per atom) = 0.7542